A crystal of Li4Ti3Co3Te2O16 relaxed with PBEsol, computed with meta-GGA SCAN.

Geometry as CIF:
```
data_Li4Ti3Co3Te2O16
_chemical_formula_sum 'Li8 Ti6 Co6 Te4 O32'
_space_group_name_H-M_alt 'C 1 m 1'
_space_group_IT_number 8
_space_group_name_Hall 'C -2y'
_cell_length_a 9.943
_cell_length_b 5.849
_cell_length_c 10.085
_cell_angle_alpha 90.00
_cell_angle_beta 90.06
_cell_angle_gamma 90.00
loop_
_atom_site_label
_atom_site_fract_x
_atom_site_fract_y
_atom_site_fract_z
Li1 0.000 0.000 0.000
Li2 0.010 0.000 0.485
Li3 0.181 0.500 0.076
Li4 0.347 0.000 0.585
Ti1 0.100 0.256 0.766
Ti2 0.190 0.000 0.256
Co1 0.336 0.500 0.772
Co2 0.426 0.226 0.263
Te1 0.183 0.500 0.474
Te2 0.347 0.000 0.989
O1 0.004 0.000 0.676
O2 0.006 0.000 0.185
O3 0.021 0.500 0.666
O4 0.098 0.244 0.375
O5 0.163 0.000 0.889
O6 0.172 0.500 0.879
O7 0.254 0.260 0.662
O8 0.264 0.222 0.134
O9 0.342 0.000 0.378
O10 0.350 0.500 0.376
O11 0.423 0.276 0.880
O12 0.499 0.000 0.137
```

Output
ρ in g cm⁻³: 4.87
E_tot in eV per atom: -12.222
Formation energy from raw total energies in eV per atom: -2.088

***

A crystal of Li2Ti3CoO8 relaxed with PBEsol, computed with meta-GGA SCAN.

Geometry as CIF:
```
data_Li2Ti3CoO8
_chemical_formula_sum 'Li8 Ti12 Co4 O32'
_space_group_name_H-M_alt 'P 43 3 2'
_space_group_IT_number 212
_space_group_name_Hall 'P 4acd 2ab 3'
_cell_length_a 8.238
_cell_length_b 8.238
_cell_length_c 8.238
_cell_angle_alpha 90.00
_cell_angle_beta 90.00
_cell_angle_gamma 90.00
loop_
_atom_site_label
_atom_site_fract_x
_atom_site_fract_y
_atom_site_fract_z
Li1 0.007 0.493 0.507
Ti1 0.112 0.625 0.138
Co1 0.125 0.875 0.375
O1 0.106 0.606 0.894
O2 0.114 0.880 0.617
```

Output
ρ in g cm⁻³: 4.09
Energy above the lowest structure with this stoichiometry in meV per atom: 49
E_tot in eV per atom: -11.374
Formation energy from raw total energies in eV per atom: -2.801

***

A crystal of Li2Ti3CoO8 relaxed with PBEsol, computed with meta-GGA SCAN.

Geometry as CIF:
```
data_Li2Ti3CoO8
_chemical_formula_sum 'Li4 Ti6 Co2 O16'
_space_group_name_H-M_alt 'P 63 m c'
_space_group_IT_number 186
_space_group_name_Hall 'P 6c -2c'
_cell_length_a 5.8576
_cell_length_b 5.8576
_cell_length_c 9.5165
_cell_angle_alpha 90.00
_cell_angle_beta 90.00
_cell_angle_gamma 120.00
loop_
_atom_site_label
_atom_site_fract_x
_atom_site_fract_y
_atom_site_fract_z
Li1 0.0000 0.0000 0.0000
Li2 0.3333 0.6667 0.1071
Ti1 0.1688 0.3375 0.7839
Co1 0.3333 0.6667 0.5094
O1 0.0000 0.0000 0.1838
O2 0.0363 0.5181 0.6661
O3 0.1612 0.3224 0.3943
O4 0.3333 0.6667 0.8960
```

Output
ρ in g cm⁻³: 4.04
Energy above the lowest structure with this stoichiometry in meV per atom: 92
E_tot in eV per atom: -11.332
Formation energy from raw total energies in eV per atom: -2.758

***

A crystal of Li2Ti3CoO8 relaxed with PBEsol, computed with meta-GGA SCAN.

Geometry as CIF:
```
data_Li2Ti3CoO8
_chemical_formula_sum 'Li6 Ti9 Co3 O24'
_space_group_name_H-M_alt 'R 3 m'
_space_group_IT_number 160
_space_group_name_Hall 'R 3 -2"'
_cell_length_a 5.8987
_cell_length_b 5.8987
_cell_length_c 14.2211
_cell_angle_alpha 90.00
_cell_angle_beta 90.00
_cell_angle_gamma 120.00
loop_
_atom_site_label
_atom_site_fract_x
_atom_site_fract_y
_atom_site_fract_z
Li1 0.0000 0.0000 0.0000
Li2 0.0000 0.0000 0.3806
Ti1 0.0060 0.5030 0.8824
Co1 0.0000 0.0000 0.7639
O1 0.0000 0.0000 0.1396
O2 0.0000 0.0000 0.6245
O3 0.0225 0.5113 0.1394
O4 0.1801 0.3603 0.9525
```

Output
ρ in g cm⁻³: 4.00
Energy above the lowest structure with this stoichiometry in meV per atom: 36
E_tot in eV per atom: -11.387
Formation energy from raw total energies in eV per atom: -2.814

***

A crystal of Li3TiCo3O8 relaxed with PBEsol, computed with meta-GGA SCAN.

Geometry as CIF:
```
data_Li3TiCo3O8
_chemical_formula_sum 'Li9 Ti3 Co9 O24'
_space_group_name_H-M_alt 'R -3 m'
_space_group_IT_number 166
_space_group_name_Hall '-R 3 2"'
_cell_length_a 5.5951
_cell_length_b 5.5951
_cell_length_c 14.4160
_cell_angle_alpha 90.00
_cell_angle_beta 90.00
_cell_angle_gamma 120.00
loop_
_atom_site_label
_atom_site_fract_x
_atom_site_fract_y
_atom_site_fract_z
Li1 0.0000 0.5000 0.0000
Ti1 0.0000 0.0000 0.5000
Co1 0.0000 0.5000 0.5000
O1 0.0000 0.0000 0.2355
O2 0.0044 0.5022 0.7596
```

Output
ρ in g cm⁻³: 4.76
Energy above the lowest structure with this stoichiometry in meV per atom: 26
E_tot in eV per atom: -10.413
Formation energy from raw total energies in eV per atom: -2.082

***

A crystal of Li2Ti3CoO8 relaxed with PBEsol, computed with meta-GGA SCAN.

Geometry as CIF:
```
data_Li2Ti3CoO8
_chemical_formula_sum 'Li6 Ti9 Co3 O24'
_space_group_name_H-M_alt 'R -3 m'
_space_group_IT_number 166
_space_group_name_Hall '-R 3 2"'
_cell_length_a 5.9183
_cell_length_b 5.9183
_cell_length_c 13.8901
_cell_angle_alpha 90.00
_cell_angle_beta 90.00
_cell_angle_gamma 120.00
loop_
_atom_site_label
_atom_site_fract_x
_atom_site_fract_y
_atom_site_fract_z
Li1 0.0000 0.0000 0.1212
Ti1 0.0000 0.5000 0.0000
Co1 0.0000 0.0000 0.5000
O1 0.0000 0.0000 0.2595
O2 0.0305 0.5153 0.2556
```

Output
ρ in g cm⁻³: 4.07
Energy above the lowest structure with this stoichiometry in meV per atom: 55
E_tot in eV per atom: -11.368
Formation energy from raw total energies in eV per atom: -2.795